## MgRuPb2 (meta-GGA SCAN)

Data for MgRuPb2 at its PBEsol-relaxed geometry.

a b c (Å): 3.3129 3.3129 7.9125
angles (deg): 90.00 90.00 90.00
Fractional coordinates of all 4 atoms:
Mg 0.5000 0.5000 0.5000
Pb 0.0000 0.0000 0.7900
Pb 0.0000 0.0000 0.2100
Ru 0.5000 0.5000 0.0000

E_tot = -3.498 Ry per atom
E_form = 249.4 meV per atom
SG = P4/mmm (123)